# CoSiSe2

Crystalline CoSiSe2 at its relaxed geometry (PBE, the Alexandria database).

Properties
Calculated total energy in eV/atom: -4.6914
Formation energy from raw total energies in kJ/mol of formula units: 71
DOS(E_F) in states/eV per cell: 3.7

a b c (Å): 2.832 2.832 8.985
angles (deg): 90.00 90.00 89.99
Atoms (fractional coordinates):
1 Co 0.500 0.500 0.728
2 Se 0.000 0.000 0.901
3 Se 0.500 0.500 0.300
4 Si 0.000 0.000 0.571